(1)
Density functional theory data (PBE) for a relaxed SrDy2Os crystal.

VASP energy = -5.366 eV/atom
polymorph energy (0 for the lowest one) = 0.253 eV/atom
DOS at the Fermi energy = 2.537 states/eV per cell
magnetic moment = 0.0 μB per formula unit
calculated formation energy = 0.162 eV per atom
volume = 150.3 Å³/cell

```
4
Lattice="-1.863 -0.048 3.564 2.120 -0.566 3.370 1.508 10.395 3.198" Properties=species:S:1:pos:R:3 pbc="T T T"
Os 0.882 4.890 5.066
Dy 0.774 3.238 7.256
Dy 0.991 6.542 2.876
Sr 0.000 0.000 0.000
```


(2)
Density functional theory data (PBE) for a relaxed BaTa2Cr crystal.

VASP energy = -7.780 eV/atom
polymorph energy (0 for the lowest one) = 0.400 eV/atom
DOS at the Fermi energy = 4.092 states/eV per cell
magnetic moment = 1.6 μB per formula unit
calculated formation energy = 1.033 eV per atom
volume = 88.6 Å³/cell

```
4
Lattice="6.156 0.068 -0.056 2.886 5.437 0.056 -3.627 -4.221 2.632" Properties=species:S:1:pos:R:3 pbc="T T T"
Ta 0.449 0.273 0.000
Ta 4.072 2.480 0.000
Ba 3.525 -0.700 1.288
Cr 1.890 1.985 1.344
```


(3)
Density functional theory data (PBE) for a relaxed NaSn2Cl8 crystal.

VASP energy = -3.190 eV/atom
formation energy without anion corrections = -11.00 eV/f.u.
DOS at the Fermi energy = 5.805 states/eV per cell
magnetic moment = 0.0 μB per formula unit
volume = 423.9 Å³/cell

```
11
Lattice="6.617 0.544 0.413 0.752 8.197 -0.032 0.752 2.176 7.903" Properties=species:S:1:pos:R:3 pbc="T T T"
Cl 6.633 6.808 5.166
Cl 5.768 6.370 0.886
Cl 1.489 4.109 3.118
Cl 2.354 8.348 2.387
Cl 3.319 8.568 6.501
Cl 4.802 2.349 1.782
Cl 2.354 4.547 7.397
Cl 5.768 2.569 5.896
Na 0.000 0.000 0.000
Sn 2.378 2.347 1.780
Sn 5.744 8.571 6.503
```


(4)
Density functional theory data (PBE) for a relaxed K3TiTe3 crystal.

VASP energy = -3.899 eV/atom
formation energy without anion corrections = -6.68 eV/f.u.
polymorph energy (0 for the lowest one) = 0.000 eV/atom
DOS at the Fermi energy = 2.792 states/eV per cell
magnetic moment = 0.0 μB per formula unit
volume = 1115.4 Å³/cell

```
28
Lattice="7.550 0.000 0.000 -3.775 10.321 0.000 0.000 0.000 14.314" Properties=species:S:1:pos:R:3 pbc="T T T"
K 1.263 6.705 1.834
K 2.563 0.000 2.447
K 6.338 0.000 4.710
K 4.987 0.000 11.867
K 1.263 3.616 5.322
K 1.212 0.000 9.604
K 5.038 6.705 5.322
K 5.038 3.616 1.834
K -1.263 6.705 12.479
K 2.513 6.705 8.991
K 2.513 3.616 12.479
K -1.263 3.616 8.991
Ti 0.000 1.589 0.000
Ti 3.775 1.589 7.157
Ti 0.000 8.732 7.157
Ti 3.775 8.732 0.000
Te -2.481 7.171 1.722
Te 5.069 3.150 5.435
Te 5.796 0.000 1.261
Te 5.530 0.000 8.417
Te -1.294 7.171 8.879
Te 2.481 3.150 8.879
Te 1.294 3.150 1.722
Te 1.755 0.000 13.053
Te 1.294 7.171 5.435
Te 2.481 7.171 12.592
Te 2.020 0.000 5.896
Te 6.257 3.150 12.592
```


(5)
Density functional theory data (PBE) for a relaxed Ti2AlRu2 crystal.

VASP energy = -8.022 eV/atom
DOS at the Fermi energy = 8.620 states/eV per cell
magnetic moment = 0.0 μB per formula unit
calculated formation energy = -0.406 eV per atom
volume = 156.8 Å³/cell

```
10
Lattice="7.151 0.000 0.000 0.000 7.151 0.000 0.000 0.000 3.067" Properties=species:S:1:pos:R:3 pbc="T T T"
Ti 4.689 6.038 1.533
Ti 1.113 4.689 1.533
Ti 6.038 2.462 1.533
Ti 2.462 1.113 1.533
Ru 2.530 6.105 0.000
Ru 4.622 1.046 0.000
Ru 6.105 4.622 0.000
Ru 1.046 2.530 0.000
Al 0.000 0.000 0.000
Al 3.576 3.576 0.000
```


(6)
Density functional theory data (PBE) for a relaxed Sc3Nb5O12 crystal.

VASP energy = -8.732 eV/atom
formation energy without anion corrections = -45.80 eV/f.u.
DOS at the Fermi energy = 36.695 states/eV per cell
magnetic moment = 0.0 μB per formula unit
volume = 999.8 Å³/cell

```
80
Lattice="-9.130 -5.503 -2.323 8.012 -3.279 -6.640 2.855 -1.898 10.358" Properties=species:S:1:pos:R:3 pbc="T T T"
O -3.414 -7.516 -4.402
O 1.931 -3.064 8.812
O 6.613 -6.550 0.942
O -5.834 -6.639 3.894
O 7.002 -6.149 3.528
O 2.754 -6.726 -2.831
O -1.017 -3.954 4.226
O 3.221 -4.512 5.108
O 4.571 -6.663 2.620
O 0.940 -6.210 -1.263
O -1.844 -7.130 5.593
O 6.950 -3.846 -4.864
O 4.234 -4.235 2.533
O -0.704 -3.887 0.558
O 2.544 -4.376 -0.233
O -1.484 -6.168 -3.713
O -0.194 -7.616 -7.417
O -5.213 -6.835 6.259
O -0.037 -8.730 -1.918
O -0.622 -8.298 3.558
O -2.726 -5.503 2.929
O 0.206 -3.413 -2.732
O -5.265 -4.531 -2.134
O -2.350 -3.003 2.148
O 1.088 -2.550 6.566
O 6.004 -4.204 0.566
O 0.204 -5.814 5.895
O 0.797 -4.470 2.657
O -4.876 -4.130 0.453
O 4.087 -7.677 -0.753
O 1.321 -1.386 0.969
O 5.151 -3.164 5.796
O 6.782 -3.752 3.054
O 4.463 -5.178 -1.534
O -4.267 -6.477 0.828
O 2.441 -6.793 0.837
O 0.649 -8.130 -5.171
O 7.571 -4.042 -2.499
O -5.045 -6.928 -1.660
O 1.774 -1.950 3.313
O -0.807 -6.305 1.628
O -2.497 -6.446 -1.138
O 3.581 -3.550 -4.198
O -2.834 -4.017 -1.225
O 2.359 -2.382 -2.163
O 0.416 -9.295 0.426
O 1.533 -4.867 -4.500
O 1.531 -7.268 4.127
Sc 8.010 -4.981 1.668
Sc 4.370 -5.709 0.622
Sc -0.210 -2.498 2.473
Sc -1.623 -7.512 -5.718
Sc 2.297 -4.588 -2.432
Sc -6.273 -5.700 -0.273
Sc -2.633 -4.971 0.772
Sc -0.560 -6.093 3.826
Sc 5.223 -5.086 4.332
Sc 3.360 -3.169 7.112
Sc 1.947 -8.183 -1.079
Sc -3.486 -5.594 -2.937
Nb 2.801 -7.560 2.631
Nb 5.085 -4.482 -5.096
Nb -0.281 -3.897 6.067
Nb 0.000 0.000 0.000
Nb -1.064 -3.121 -1.236
Nb 2.018 -6.783 -4.673
Nb 0.869 -5.340 0.697
Nb 1.428 -0.949 5.179
Nb -0.559 -4.391 -4.482
Nb 5.938 -3.859 -1.387
Nb -3.137 -3.701 4.017
Nb -4.565 -2.752 -1.161
Nb -0.769 -6.889 -2.008
Nb 4.006 -1.640 -3.320
Nb -4.201 -6.821 2.781
Nb -3.348 -6.198 6.491
Nb -0.840 -8.288 1.586
Nb 2.577 -2.392 -0.191
Nb 2.506 -3.792 3.403
Nb 5.433 -2.589 1.859
```


(7)
Density functional theory data (PBE) for a relaxed TcAg3I crystal.

VASP energy = -2.851 eV/atom
formation energy without anion corrections = 6.21 eV/f.u.
polymorph energy (0 for the lowest one) = 0.000 eV/atom
DOS at the Fermi energy = 2.539 states/eV per cell
magnetic moment = 3.1 μB per formula unit
volume = 145.8 Å³/cell

```
5
Lattice="-3.416 -1.610 3.665 3.610 -3.321 1.907 1.729 3.752 3.260" Properties=species:S:1:pos:R:3 pbc="T T T"
Ag -1.708 -0.805 1.833
Ag 0.865 1.876 1.630
Ag 1.805 -1.660 0.953
I 0.962 -0.589 4.416
Tc 0.000 0.000 0.000
```


(8)
Density functional theory data (PBE) for a relaxed Tm2BePt9 crystal.

VASP energy = -6.384 eV/atom
DOS at the Fermi energy = 10.233 states/eV per cell
magnetic moment = 0.0 μB per formula unit
calculated formation energy = -0.798 eV per atom
volume = 194.4 Å³/cell

```
12
Lattice="4.045 0.000 0.000 0.000 4.045 0.000 0.000 0.000 11.883" Properties=species:S:1:pos:R:3 pbc="T T T"
Pt 0.000 2.022 1.768
Pt 2.022 2.022 0.000
Pt 2.022 2.022 3.864
Pt 2.022 0.000 1.768
Pt 2.022 2.022 8.018
Pt 0.000 2.022 10.115
Pt 2.022 0.000 5.941
Pt 2.022 0.000 10.115
Pt 0.000 2.022 5.941
Be 0.000 0.000 0.000
Tm 0.000 0.000 8.014
Tm 0.000 0.000 3.868
```


(9)
Density functional theory data (PBE) for a relaxed PaNbAs2 crystal.

VASP energy = -7.372 eV/atom
polymorph energy (0 for the lowest one) = 0.519 eV/atom
DOS at the Fermi energy = 4.552 states/eV per cell
magnetic moment = 0.0 μB per formula unit
calculated formation energy = -0.156 eV per atom
volume = 85.5 Å³/cell

```
4
Lattice="3.172 0.000 0.000 1.586 2.747 0.000 1.586 0.916 9.811" Properties=species:S:1:pos:R:3 pbc="T T T"
As 1.586 0.916 6.834
As 4.758 2.747 2.977
Nb 3.172 1.831 4.906
Pa 0.000 0.000 0.000
```


(10)
Density functional theory data (PBE) for a relaxed AlInGa6 crystal.

VASP energy = -3.038 eV/atom
polymorph energy (0 for the lowest one) = 0.000 eV/atom
DOS at the Fermi energy = 2.605 states/eV per cell
magnetic moment = 0.0 μB per formula unit
calculated formation energy = 0.042 eV per atom
volume = 156.8 Å³/cell

```
8
Lattice="-1.323 -0.605 3.880 0.377 -9.027 -1.280 3.736 4.489 1.975" Properties=species:S:1:pos:R:3 pbc="T T T"
Ga 0.341 -0.309 2.281
Ga 2.803 -0.018 0.953
Ga 1.082 -2.196 0.027
Ga 2.392 -2.683 2.610
Ga 1.277 -6.844 -0.633
Ga 2.195 2.040 3.280
Al 3.262 -4.533 0.405
In 0.453 -4.822 1.615
```


(11)
Density functional theory data (PBE) for a relaxed KInH3 crystal.

VASP energy = -1.997 eV/atom
polymorph energy (0 for the lowest one) = 0.801 eV/atom
DOS at the Fermi energy = 2.600 states/eV per cell
magnetic moment = 0.4 μB per formula unit
volume = 92.1 Å³/cell

```
5
Lattice="4.517 0.000 0.000 0.000 4.517 0.000 0.000 0.000 4.517" Properties=species:S:1:pos:R:3 pbc="T T T"
In 2.258 2.258 2.258
H 2.258 0.000 0.000
H 0.000 2.258 0.000
H 0.000 0.000 2.258
K 0.000 0.000 0.000
```


(12)
Density functional theory data (PBE) for a relaxed NaAgPd4 crystal.

VASP energy = -4.186 eV/atom
DOS at the Fermi energy = 5.676 states/eV per cell
magnetic moment = 0.0 μB per formula unit
calculated formation energy = -0.029 eV per atom
volume = 106.2 Å³/cell

```
6
Lattice="5.316 0.000 0.000 2.658 4.604 0.000 2.658 1.535 4.341" Properties=species:S:1:pos:R:3 pbc="T T T"
Pd 3.985 3.838 2.714
Pd 6.647 3.838 2.714
Pd 5.316 3.069 0.540
Pd 5.316 1.532 2.714
Ag 0.000 0.000 0.000
Na 2.658 1.535 1.085
```